## one
! TaHg2Ir (PBE, relaxed); values from VASP
! total magnetization: 0.0 μB per formula unit
! volume: 21.54 Å³/atom
&SYSTEM
  ibrav = 0, nat = 4, ntyp = 3
/
ATOMIC_SPECIES
Ta 180.95 Ta.upf
Hg 200.59 Hg.upf
Ir 192.22 Ir.upf
ATOMIC_POSITIONS crystal
Ta 0.000 0.000 0.000
Hg 0.564 0.564 0.729
Hg 0.831 0.831 0.440
Ir 0.396 0.396 0.176
CELL_PARAMETERS angstrom
2.975 -1.666 0.000
2.975 1.666 0.000
-2.315 0.000 8.692

=====

## two
! TaHg2Ir (PBE, relaxed); values from VASP
! total magnetization: 0.0 μB per formula unit
! volume: 19.51 Å³/atom
&SYSTEM
  ibrav = 0, nat = 4, ntyp = 3
/
ATOMIC_SPECIES
Ta 180.95 Ta.upf
Hg 200.59 Hg.upf
Ir 192.22 Ir.upf
ATOMIC_POSITIONS crystal
Ta 0.000 0.000 0.000
Hg 0.000 0.000 0.558
Hg 0.500 0.500 0.263
Ir 0.500 0.500 0.820
CELL_PARAMETERS angstrom
3.080 0.000 0.000
0.000 3.080 0.000
0.000 0.000 8.229

=====

## three
! TaHg2Ir (PBE, relaxed); values from VASP
! total magnetization: 0.0 μB per formula unit
! volume: 18.40 Å³/atom
&SYSTEM
  ibrav = 0, nat = 4, ntyp = 3
/
ATOMIC_SPECIES
Ta 180.95 Ta.upf
Hg 200.59 Hg.upf
Ir 192.22 Ir.upf
ATOMIC_POSITIONS crystal
Ta 0.000 0.000 0.000
Hg 0.000 0.500 0.500
Hg 0.500 0.000 0.500
Ir 0.500 0.500 0.000
CELL_PARAMETERS angstrom
4.882 0.000 0.000
0.000 4.882 0.000
0.000 0.000 3.088

=====

## four
! TaHg2Ir (PBE, relaxed); values from VASP
! total magnetization: 0.0 μB per formula unit
! volume: 20.25 Å³/atom
&SYSTEM
  ibrav = 0, nat = 8, ntyp = 3
/
ATOMIC_SPECIES
Ta 180.95 Ta.upf
Hg 200.59 Hg.upf
Ir 192.22 Ir.upf
ATOMIC_POSITIONS crystal
Ta 0.000 0.000 0.000
Ta 0.750 0.250 0.500
Hg 0.135 0.125 0.510
Hg 0.375 0.865 0.990
Hg 0.615 0.625 0.490
Hg 0.875 0.385 0.010
Ir 0.250 0.750 0.500
Ir 0.500 0.500 0.000
CELL_PARAMETERS angstrom
-3.857 3.857 2.722
3.857 -3.857 2.722
3.857 3.857 -2.722

=====

Energetically preferred structure: two | next structure: +9.6 kJ/mol of atoms

=====

## one
! TaHg2Ir (PBE, relaxed); values from VASP
! total magnetization: 0.0 μB per formula unit
! volume: 18.41 Å³/atom
&SYSTEM
  ibrav = 0, nat = 4, ntyp = 3
/
ATOMIC_SPECIES
Ta 180.95 Ta.upf
Hg 200.59 Hg.upf
Ir 192.22 Ir.upf
ATOMIC_POSITIONS crystal
Ta 0.000 0.000 0.000
Hg 0.500 0.500 0.500
Hg 0.750 0.750 0.750
Ir 0.250 0.250 0.250
CELL_PARAMETERS angstrom
0.000 3.327 3.327
3.327 0.000 3.327
3.327 3.327 0.000

=====

## two
! TaHg2Ir (PBE, relaxed); values from VASP
! total magnetization: 0.0 μB per formula unit
! volume: 18.77 Å³/atom
&SYSTEM
  ibrav = 0, nat = 4, ntyp = 3
/
ATOMIC_SPECIES
Ta 180.95 Ta.upf
Hg 200.59 Hg.upf
Ir 192.22 Ir.upf
ATOMIC_POSITIONS crystal
Ta 0.000 0.000 0.000
Hg 0.500 0.500 0.259
Hg 0.500 0.500 0.741
Ir 0.000 0.000 0.500
CELL_PARAMETERS angstrom
1.507 -2.532 0.000
1.507 2.532 0.000
0.000 0.000 9.842

=====

Energetically preferred structure: one | next structure: +16.6 kJ/mol of atoms

=====

## one
! TaHg2Ir (PBE, relaxed); values from VASP
! total magnetization: 0.0 μB per formula unit
! volume: 18.33 Å³/atom
&SYSTEM
  ibrav = 0, nat = 4, ntyp = 3
/
ATOMIC_SPECIES
Ta 180.95 Ta.upf
Hg 200.59 Hg.upf
Ir 192.22 Ir.upf
ATOMIC_POSITIONS crystal
Ta 0.000 0.000 0.000
Hg 0.248 0.248 0.747
Hg 0.752 0.752 0.253
Ir 0.500 0.500 0.500
CELL_PARAMETERS angstrom
4.875 -1.503 0.000
4.875 1.503 0.000
-0.843 0.000 5.003

=====

## two
! TaHg2Ir (PBE, relaxed); values from VASP
! total magnetization: 0.0 μB per formula unit
! volume: 18.02 Å³/atom
&SYSTEM
  ibrav = 0, nat = 4, ntyp = 3
/
ATOMIC_SPECIES
Ta 180.95 Ta.upf
Hg 200.59 Hg.upf
Ir 192.22 Ir.upf
ATOMIC_POSITIONS crystal
Ta 0.000 0.000 0.000
Hg 0.250 0.250 0.250
Hg 0.750 0.750 0.750
Ir 0.500 0.500 0.500
CELL_PARAMETERS angstrom
0.000 3.303 3.303
3.303 0.000 3.303
3.303 3.303 0.000

=====

Energetically preferred structure: one | next structure: +17.3 kJ/mol of atoms

=====

## one
! TaHg2Ir (PBE, relaxed); values from VASP
! total magnetization: 0.0 μB per formula unit
! volume: 18.28 Å³/atom
&SYSTEM
  ibrav = 0, nat = 4, ntyp = 3
/
ATOMIC_SPECIES
Ta 180.95 Ta.upf
Hg 200.59 Hg.upf
Ir 192.22 Ir.upf
ATOMIC_POSITIONS crystal
Ta 0.000 0.000 0.000
Hg 0.250 0.750 0.500
Hg 0.500 0.500 0.000
Ir 0.750 0.250 0.500
CELL_PARAMETERS angstrom
-2.185 2.185 3.830
2.185 -2.185 3.830
2.185 2.185 -3.830

=====

## two
! TaHg2Ir (PBE, relaxed); values from VASP
! total magnetization: 0.0 μB per formula unit
! volume: 18.66 Å³/atom
&SYSTEM
  ibrav = 0, nat = 4, ntyp = 3
/
ATOMIC_SPECIES
Ta 180.95 Ta.upf
Hg 200.59 Hg.upf
Ir 192.22 Ir.upf
ATOMIC_POSITIONS crystal
Ta 0.000 0.000 0.000
Hg 0.000 0.500 0.500
Hg 0.500 0.000 0.500
Ir 0.500 0.500 0.000
CELL_PARAMETERS angstrom
2.986 0.000 0.000
0.000 4.949 0.000
0.000 0.000 5.051

=====

Energetically preferred structure: one | next structure: +4.0 kJ/mol of atoms

=====

## one
! TaHg2Ir (PBE, relaxed); values from VASP
! total magnetization: 0.0 μB per formula unit
! volume: 18.40 Å³/atom
&SYSTEM
  ibrav = 0, nat = 4, ntyp = 3
/
ATOMIC_SPECIES
Ta 180.95 Ta.upf
Hg 200.59 Hg.upf
Ir 192.22 Ir.upf
ATOMIC_POSITIONS crystal
Ta 0.000 0.000 0.000
Hg 0.500 0.500 0.253
Hg 0.500 0.500 0.747
Ir 0.000 0.000 0.500
CELL_PARAMETERS angstrom
2.986 0.000 0.000
0.000 4.383 0.000
0.000 0.000 5.623

=====

## two
! TaHg2Ir (PBE, relaxed); values from VASP
! total magnetization: 0.0 μB per formula unit
! volume: 18.66 Å³/atom
&SYSTEM
  ibrav = 0, nat = 4, ntyp = 3
/
ATOMIC_SPECIES
Ta 180.95 Ta.upf
Hg 200.59 Hg.upf
Ir 192.22 Ir.upf
ATOMIC_POSITIONS crystal
Ta 0.000 0.000 0.000
Hg 0.000 0.500 0.500
Hg 0.500 0.000 0.500
Ir 0.500 0.500 0.000
CELL_PARAMETERS angstrom
3.987 0.000 0.000
0.000 3.987 0.000
0.000 0.000 4.696

=====

## three
! TaHg2Ir (PBE, relaxed); values from VASP
! total magnetization: 0.0 μB per formula unit
! volume: 18.25 Å³/atom
&SYSTEM
  ibrav = 0, nat = 4, ntyp = 3
/
ATOMIC_SPECIES
Ta 180.95 Ta.upf
Hg 200.59 Hg.upf
Ir 192.22 Ir.upf
ATOMIC_POSITIONS crystal
Ta 0.000 0.000 0.000
Hg 0.500 0.500 0.262
Hg 0.500 0.500 0.738
Ir 0.000 0.000 0.500
CELL_PARAMETERS angstrom
2.991 0.000 0.000
0.000 2.991 0.000
0.000 0.000 8.161

=====

## four
! TaHg2Ir (PBE, relaxed); values from VASP
! total magnetization: 0.9 μB per formula unit
! volume: 18.47 Å³/atom
&SYSTEM
  ibrav = 0, nat = 4, ntyp = 3
/
ATOMIC_SPECIES
Ta 180.95 Ta.upf
Hg 200.59 Hg.upf
Ir 192.22 Ir.upf
ATOMIC_POSITIONS crystal
Ta 0.000 0.000 0.000
Hg 0.250 0.750 0.500
Hg 0.750 0.250 0.500
Ir 0.500 0.500 0.000
CELL_PARAMETERS angstrom
-2.036 2.036 4.454
2.036 -2.036 4.454
2.036 2.036 -4.454

=====

Energetically preferred structure: two | next structure: +1.9 kJ/mol of atoms

=====

## one
! Ta2HgIr2 (PBE, relaxed); values from VASP
! total magnetization: 0.0 μB per formula unit
! volume: 17.66 Å³/atom
&SYSTEM
  ibrav = 0, nat = 10, ntyp = 3
/
ATOMIC_SPECIES
Ta 180.95 Ta.upf
Hg 200.59 Hg.upf
Ir 192.22 Ir.upf
ATOMIC_POSITIONS crystal
Ta 0.162 0.338 0.000
Ta 0.338 0.838 0.000
Ta 0.662 0.162 0.000
Ta 0.838 0.662 0.000
Hg 0.000 0.000 0.500
Hg 0.500 0.500 0.500
Ir 0.130 0.630 0.500
Ir 0.370 0.130 0.500
Ir 0.630 0.870 0.500
Ir 0.870 0.370 0.500
CELL_PARAMETERS angstrom
7.782 0.000 0.000
0.000 7.782 0.000
0.000 0.000 2.915

=====

## two
! Ta2HgIr2 (PBE, relaxed); values from VASP
! total magnetization: 0.0 μB per formula unit
! volume: 20.08 Å³/atom
&SYSTEM
  ibrav = 0, nat = 5, ntyp = 3
/
ATOMIC_SPECIES
Ta 180.95 Ta.upf
Hg 200.59 Hg.upf
Ir 192.22 Ir.upf
ATOMIC_POSITIONS crystal
Ta 0.250 0.750 0.500
Ta 0.750 0.250 0.500
Hg 0.000 0.000 0.000
Ir 0.377 0.377 0.000
Ir 0.623 0.623 0.000
CELL_PARAMETERS angstrom
-2.199 2.199 5.190
2.199 -2.199 5.190
2.199 2.199 -5.190

=====

## three
! Ta2HgIr2 (PBE, relaxed); values from VASP
! total magnetization: 0.0 μB per formula unit
! volume: 18.09 Å³/atom
&SYSTEM
  ibrav = 0, nat = 10, ntyp = 3
/
ATOMIC_SPECIES
Ta 180.95 Ta.upf
Hg 200.59 Hg.upf
Ir 192.22 Ir.upf
ATOMIC_POSITIONS crystal
Ta 0.154 0.346 0.000
Ta 0.346 0.846 0.000
Ta 0.654 0.154 0.000
Ta 0.846 0.654 0.000
Hg 0.000 0.000 0.000
Hg 0.500 0.500 0.000
Ir 0.135 0.635 0.500
Ir 0.365 0.135 0.500
Ir 0.635 0.865 0.500
Ir 0.865 0.365 0.500
CELL_PARAMETERS angstrom
7.894 0.000 0.000
0.000 7.894 0.000
0.000 0.000 2.903

=====

Energetically preferred structure: one | next structure: +12.7 kJ/mol of atoms

=====

## one
! TaHgIr3 (PBE, relaxed); values from VASP
! total magnetization: 0.0 μB per formula unit
! volume: 22.14 Å³/atom
&SYSTEM
  ibrav = 0, nat = 5, ntyp = 3
/
ATOMIC_SPECIES
Ta 180.95 Ta.upf
Hg 200.59 Hg.upf
Ir 192.22 Ir.upf
ATOMIC_POSITIONS crystal
Ta 0.000 0.000 0.000
Hg 0.500 0.500 0.500
Ir 0.000 0.000 0.500
Ir 0.000 0.500 0.000
Ir 0.500 0.000 0.000
CELL_PARAMETERS angstrom
4.801 0.000 0.000
0.000 4.801 0.000
0.000 0.000 4.801

=====

## two
! TaHgIr3 (PBE, relaxed); values from VASP
! total magnetization: 0.0 μB per formula unit
! volume: 22.11 Å³/atom
&SYSTEM
  ibrav = 0, nat = 5, ntyp = 3
/
ATOMIC_SPECIES
Ta 180.95 Ta.upf
Hg 200.59 Hg.upf
Ir 192.22 Ir.upf
ATOMIC_POSITIONS crystal
Ta 0.000 0.000 0.000
Hg 0.500 0.500 0.500
Ir 0.000 0.500 0.500
Ir 0.500 0.000 0.500
Ir 0.500 0.500 0.000
CELL_PARAMETERS angstrom
4.799 0.000 0.000
0.000 4.799 0.000
0.000 0.000 4.799

=====

Energetically preferred structure: one | next structure: +98.9 kJ/mol of atoms

=====

## one
! TcHg2Ir (PBE, relaxed); values from VASP
! total magnetization: 1.0 μB per formula unit
! volume: 17.76 Å³/atom
&SYSTEM
  ibrav = 0, nat = 4, ntyp = 3
/
ATOMIC_SPECIES
Tc 98.00 Tc.upf
Hg 200.59 Hg.upf
Ir 192.22 Ir.upf
ATOMIC_POSITIONS crystal
Tc 0.000 0.000 0.000
Hg 0.266 0.500 0.750
Hg 0.734 0.500 0.250
Ir 0.500 0.000 0.500
CELL_PARAMETERS angstrom
2.891 0.000 0.000
0.000 4.851 0.000
-0.097 0.000 5.067

=====

## two
! TcHg2Ir (PBE, relaxed); values from VASP
! total magnetization: 1.2 μB per formula unit
! volume: 17.61 Å³/atom
&SYSTEM
  ibrav = 0, nat = 4, ntyp = 3
/
ATOMIC_SPECIES
Tc 98.00 Tc.upf
Hg 200.59 Hg.upf
Ir 192.22 Ir.upf
ATOMIC_POSITIONS crystal
Tc 0.000 0.000 0.000
Hg 0.000 0.500 0.500
Hg 0.500 0.000 0.500
Ir 0.500 0.500 0.000
CELL_PARAMETERS angstrom
2.893 -4.211 0.000
2.893 4.211 0.000
0.000 0.000 2.890

=====

Energetically preferred structure: one | next structure: +10.2 kJ/mol of atoms

=====

## one
! TcHg2Ir (PBE, relaxed); values from VASP
! total magnetization: 2.5 μB per formula unit
! volume: 17.77 Å³/atom
&SYSTEM
  ibrav = 0, nat = 4, ntyp = 3
/
ATOMIC_SPECIES
Tc 98.00 Tc.upf
Hg 200.59 Hg.upf
Ir 192.22 Ir.upf
ATOMIC_POSITIONS crystal
Tc 0.000 0.000 0.000
Hg 0.250 0.250 0.250
Hg 0.750 0.750 0.750
Ir 0.500 0.500 0.500
CELL_PARAMETERS angstrom
0.000 3.288 3.288
3.288 0.000 3.288
3.288 3.288 0.000

=====

## two
! TcHg2Ir (PBE, relaxed); values from VASP
! total magnetization: 0.0 μB per formula unit
! volume: 18.37 Å³/atom
&SYSTEM
  ibrav = 0, nat = 4, ntyp = 3
/
ATOMIC_SPECIES
Tc 98.00 Tc.upf
Hg 200.59 Hg.upf
Ir 192.22 Ir.upf
ATOMIC_POSITIONS crystal
Tc 0.000 0.000 0.000
Hg 0.218 0.000 0.438
Hg 0.375 0.500 0.751
Ir 0.590 0.500 0.184
CELL_PARAMETERS angstrom
2.922 0.000 0.000
0.000 2.880 0.000
-1.442 0.000 8.730

=====

Energetically preferred structure: two | next structure: +49.8 kJ/mol of atoms

=====

## one
! TcHg2Ir (PBE, relaxed); values from VASP
! total magnetization: 2.4 μB per formula unit
! volume: 17.82 Å³/atom
&SYSTEM
  ibrav = 0, nat = 4, ntyp = 3
/
ATOMIC_SPECIES
Tc 98.00 Tc.upf
Hg 200.59 Hg.upf
Ir 192.22 Ir.upf
ATOMIC_POSITIONS crystal
Tc 0.000 0.000 0.000
Hg 0.500 0.500 0.252
Hg 0.500 0.500 0.748
Ir 0.000 0.000 0.500
CELL_PARAMETERS angstrom
2.983 0.000 0.000
0.000 4.105 0.000
0.000 0.000 5.822

=====

## two
! TcHg2Ir (PBE, relaxed); values from VASP
! total magnetization: 1.1 μB per formula unit
! volume: 17.53 Å³/atom
&SYSTEM
  ibrav = 0, nat = 4, ntyp = 3
/
ATOMIC_SPECIES
Tc 98.00 Tc.upf
Hg 200.59 Hg.upf
Ir 192.22 Ir.upf
ATOMIC_POSITIONS crystal
Tc 0.000 0.000 0.000
Hg 0.250 0.250 0.749
Hg 0.750 0.750 0.251
Ir 0.500 0.500 0.500
CELL_PARAMETERS angstrom
4.732 -1.464 0.000
4.732 1.464 0.000
-0.921 0.000 5.062

=====

## three
! TcHg2Ir (PBE, relaxed); values from VASP
! total magnetization: 1.8 μB per formula unit
! volume: 19.67 Å³/atom
&SYSTEM
  ibrav = 0, nat = 8, ntyp = 3
/
ATOMIC_SPECIES
Tc 98.00 Tc.upf
Hg 200.59 Hg.upf
Ir 192.22 Ir.upf
ATOMIC_POSITIONS crystal
Tc 0.000 0.000 0.000
Tc 0.750 0.250 0.500
Hg 0.130 0.625 0.005
Hg 0.375 0.380 0.505
Hg 0.620 0.125 0.995
Hg 0.875 0.870 0.495
Ir 0.250 0.750 0.500
Ir 0.500 0.500 0.000
CELL_PARAMETERS angstrom
-3.835 3.835 2.675
3.835 -3.835 2.675
3.835 3.835 -2.675

=====

## four
! TcHg2Ir (PBE, relaxed); values from VASP
! total magnetization: 1.5 μB per formula unit
! volume: 17.60 Å³/atom
&SYSTEM
  ibrav = 0, nat = 4, ntyp = 3
/
ATOMIC_SPECIES
Tc 98.00 Tc.upf
Hg 200.59 Hg.upf
Ir 192.22 Ir.upf
ATOMIC_POSITIONS crystal
Tc 0.000 0.000 0.000
Hg 0.000 0.500 0.500
Hg 0.500 0.000 0.500
Ir 0.500 0.500 0.000
CELL_PARAMETERS angstrom
4.731 0.000 0.000
0.000 4.731 0.000
0.000 0.000 3.145

=====

Energetically preferred structure: two | next structure: +11.5 kJ/mol of atoms

=====

## one
! TcHgIr (PBE, relaxed); values from VASP
! total magnetization: 0.0 μB per formula unit
! volume: 16.55 Å³/atom
&SYSTEM
  ibrav = 0, nat = 3, ntyp = 3
/
ATOMIC_SPECIES
Tc 98.00 Tc.upf
Hg 200.59 Hg.upf
Ir 192.22 Ir.upf
ATOMIC_POSITIONS crystal
Tc 0.000 0.000 0.000
Hg 0.667 0.333 0.353
Ir 0.333 0.667 0.712
CELL_PARAMETERS angstrom
2.841 0.000 0.000
-1.420 2.460 0.000
0.000 0.000 7.103

=====

## two
! TcHgIr (PBE, relaxed); values from VASP
! total magnetization: 0.2 μB per formula unit
! volume: 16.63 Å³/atom
&SYSTEM
  ibrav = 0, nat = 3, ntyp = 3
/
ATOMIC_SPECIES
Tc 98.00 Tc.upf
Hg 200.59 Hg.upf
Ir 192.22 Ir.upf
ATOMIC_POSITIONS crystal
Tc 0.000 0.000 0.000
Hg 0.318 0.318 0.000
Ir 0.634 0.634 0.000
CELL_PARAMETERS angstrom
-1.429 1.429 6.109
1.429 -1.429 6.109
1.429 1.429 -6.109

=====

Energetically preferred structure: two | next structure: +8.4 kJ/mol of atoms